## A
NaCu2Ag2: relaxed, GGA-PBE.

Output
M_tot ... 0.0 μB per formula unit

a b c (Å): 7.7334 7.7334 2.8698
angles (deg): 90.00 90.00 90.00
Last column: nearest neighbours and their distance in Å.
Element x y z (fractional)
Ag (0.8217, 0.3217, 0.5000)  6 Cu 2.68-2.73, 2 Ag 2.87
Ag (0.6783, 0.8217, 0.5000)  6 Cu 2.68-2.73, 2 Ag 2.87
Ag (0.3217, 0.1783, 0.5000)  6 Cu 2.68-2.73, 2 Ag 2.87
Ag (0.1783, 0.6783, 0.5000)  6 Cu 2.68-2.73, 2 Ag 2.87
Cu (0.6150, 0.1150, 0.0000)  1 Cu 2.52, 6 Ag 2.68-2.73
Cu (0.8850, 0.6150, 0.0000)  1 Cu 2.52, 6 Ag 2.68-2.73
Cu (0.3850, 0.8850, 0.0000)  1 Cu 2.52, 6 Ag 2.68-2.73
Cu (0.1150, 0.3850, 0.0000)  1 Cu 2.52, 6 Ag 2.68-2.73
Na (0.0000, 0.0000, 0.0000)  2 Na 2.87, 4 Cu 3.11, 8 Ag 3.19
Na (0.5000, 0.5000, 0.0000)  2 Na 2.87, 4 Cu 3.11, 8 Ag 3.19

## B
NaCu2Ag2: relaxed, GGA-PBE.

Output
M_tot ... 0.0 μB per formula unit

a b c (Å): 3.6991 3.6991 7.1610
angles (deg): 75.03 75.03 90.00
Last column: nearest neighbours and their distance in Å.
Element x y z (fractional)
Cu (0.2500, 0.7500, 0.5000)  4 Cu 2.62, 4 Ag 2.66
Cu (0.7500, 0.2500, 0.5000)  4 Cu 2.62, 4 Ag 2.66
Ag (0.3933, 0.3933, 0.2134)  4 Cu 2.66, 1 Ag 2.85, 4 Na 2.98
Ag (0.6067, 0.6067, 0.7866)  4 Cu 2.66, 1 Ag 2.85, 4 Na 2.98
Na (0.0000, 0.0000, 0.0000)  8 Ag 2.98

Tell me which of them is the least stable. Sure, it is B.

## A
NaCuAgSb: relaxed, GGA-PBE.

Output
M_tot ... 0.0 μB per formula unit

a b c (Å): 3.8020 3.8020 12.8408
angles (deg): 90.00 90.00 90.00
Last column: nearest neighbours and their distance in Å.
Element x y z (fractional)
Cu (0.2500, 0.7500, 0.0000)  4 Sb 2.68, 4 Cu 2.69
Cu (0.7500, 0.2500, 0.0000)  4 Sb 2.68, 4 Cu 2.69
Ag (0.7500, 0.2500, 0.5000)  4 Ag 2.69
Ag (0.2500, 0.7500, 0.5000)  4 Ag 2.69
Na (0.2500, 0.2500, 0.7055)  4 Ag 3.25, 4 Sb 3.29
Na (0.7500, 0.7500, 0.2945)  4 Ag 3.25, 4 Sb 3.29
Sb (0.7500, 0.7500, 0.8531)  4 Cu 2.68
Sb (0.2500, 0.2500, 0.1469)  4 Cu 2.68

## B
NaCuAgSb: relaxed, GGA-PBE.

Output
M_tot ... 0.0 μB per formula unit

a b c (Å): 4.8056 4.8056 4.8056
angles (deg): 60.00 60.00 60.00
Last column: nearest neighbours and their distance in Å.
Element x y z (fractional)
Sb (0.5000, 0.5000, 0.5000)  4 Cu 2.94, 4 Ag 2.94
Ag (0.7500, 0.7500, 0.7500)  4 Na 2.94, 4 Sb 2.94
Na (0.0000, 0.0000, 0.0000)  4 Ag 2.94, 4 Cu 2.94
Cu (0.2500, 0.2500, 0.2500)  4 Sb 2.94, 4 Na 2.94

Tell me which of them is the least stable. Sure, it is B.

## A
NbCuAg2: relaxed, GGA-PBE.

Output
M_tot ... 0.0 μB per formula unit

a b c (Å): 4.5466 4.5466 4.5466
angles (deg): 60.00 60.00 60.00
Last column: nearest neighbours and their distance in Å.
Element x y z (fractional)
Ag (0.7500, 0.7500, 0.7500)  4 Cu 2.78, 4 Nb 2.78
Ag (0.2500, 0.2500, 0.2500)  4 Nb 2.78, 4 Cu 2.78
Cu (0.0000, 0.0000, 0.0000)  8 Ag 2.78
Nb (0.5000, 0.5000, 0.5000)  8 Ag 2.78

## B
NbCuAg2: relaxed, GGA-PBE.

Output
M_tot ... 0.0 μB per formula unit

a b c (Å): 7.3667 7.3667 5.8490
angles (deg): 50.97 50.97 90.00
Last column: nearest neighbours and their distance in Å.
Element x y z (fractional)
Ag (0.1557, 0.6250, 0.2500)  2 Cu 2.54, 2 Ag 2.70
Ag (0.3750, 0.4057, 0.7500)  2 Cu 2.54, 2 Ag 2.70
Ag (0.5943, 0.1250, 0.2500)  2 Cu 2.54, 2 Ag 2.70
Ag (0.8750, 0.8443, 0.7500)  2 Cu 2.54, 2 Ag 2.70
Nb (0.7500, 0.2500, 0.5000)  2 Cu 2.66, 4 Ag 2.85
Nb (0.0000, 0.0000, 0.0000)  2 Cu 2.66, 4 Ag 2.85
Cu (0.2500, 0.7500, 0.5000)  4 Ag 2.54, 2 Nb 2.66
Cu (0.5000, 0.5000, 0.0000)  4 Ag 2.54, 2 Nb 2.66

Tell me which of them is the least stable. Sure, it is B.

## A
NbCuAg: relaxed, GGA-PBE.

Output
M_tot ... 0.0 μB per formula unit

a b c (Å): 5.2096 4.5313 5.9370
angles (deg): 75.39 63.98 54.91
Last column: nearest neighbours and their distance in Å.
Element x y z (fractional)
Nb (0.8411, 0.3178, 0.0000)  1 Nb 2.36
Nb (0.1589, 0.6822, 0.0000)  1 Nb 2.36
Ag (0.2500, 0.5000, 0.5000)  2 Ag 2.60, 4 Cu 2.70
Ag (0.7500, 0.5000, 0.5000)  2 Ag 2.60, 4 Cu 2.70
Cu (0.3885, 0.0000, 0.2231)  1 Cu 2.38
Cu (0.6115, 0.0000, 0.7769)  1 Cu 2.38

## B
NbCuAg: relaxed, GGA-PBE.

Output
M_tot ... 0.0 μB per formula unit

a b c (Å): 2.8121 2.8121 6.4004
angles (deg): 102.69 102.69 90.00
Last column: nearest neighbours and their distance in Å.
Element x y z (fractional)
Cu (0.3325, 0.3325, 0.6651)  4 Nb 2.74, 4 Ag 2.76, 4 Cu 2.81
Ag (0.9899, 0.9899, 0.9798)  4 Cu 2.76, 4 Ag 2.81, 4 Nb 3.03
Nb (0.6775, 0.6775, 0.3551)  4 Cu 2.74, 4 Nb 2.81, 4 Ag 3.03

Tell me which of them is the least stable. Sure, it is A.

## A
NbCuAg3: relaxed, GGA-PBE.

Output
M_tot ... 3.0 μB per formula unit

a b c (Å): 4.7192 4.7192 4.7192
angles (deg): 90.00 90.00 90.00
Last column: nearest neighbours and their distance in Å.
Element x y z (fractional)
Ag (0.0000, 0.0000, 0.5000)  2 Cu 2.36
Ag (0.0000, 0.5000, 0.0000)  2 Cu 2.36
Ag (0.5000, 0.0000, 0.0000)  2 Cu 2.36
Nb (0.5000, 0.5000, 0.5000)  12 Ag 3.34
Cu (0.0000, 0.0000, 0.0000)  6 Ag 2.36

## B
NbCuAg3: relaxed, GGA-PBE.

Output
M_tot ... 0.0 μB per formula unit

a b c (Å): 5.1644 5.1644 5.1644
angles (deg): 90.00 90.00 90.00
Last column: nearest neighbours and their distance in Å.
Element x y z (fractional)
Nb (0.0000, 0.0000, 0.0000)  6 Ag 2.58
Ag (0.0000, 0.0000, 0.5000)  2 Nb 2.58
Ag (0.0000, 0.5000, 0.0000)  2 Nb 2.58
Ag (0.5000, 0.0000, 0.0000)  2 Nb 2.58
Cu (0.5000, 0.5000, 0.5000)  12 Ag 3.65

Tell me which of them is the least stable. Sure, it is B.

## A
NbCu2Ag: relaxed, GGA-PBE.

Output
M_tot ... 0.0 μB per formula unit

a b c (Å): 2.8063 2.8063 9.2059
angles (deg): 81.23 81.23 60.00
Last column: nearest neighbours and their distance in Å.
Element x y z (fractional)
Ag (0.5000, 0.5000, 0.5000)  6 Cu 2.77, 6 Ag 2.81
Cu (0.2495, 0.2495, 0.2516)  3 Ag 2.77, 3 Nb 2.80, 6 Cu 2.81
Cu (0.7505, 0.7505, 0.7484)  3 Ag 2.77, 3 Nb 2.80, 6 Cu 2.81
Nb (0.0000, 0.0000, 0.0000)  6 Cu 2.80, 6 Nb 2.81

## B
NbCu2Ag: relaxed, GGA-PBE.

Output
M_tot ... 0.0 μB per formula unit

a b c (Å): 2.7708 2.7708 7.8931
angles (deg): 90.00 90.00 90.00
Last column: nearest neighbours and their distance in Å.
Element x y z (fractional)
Ag (0.5000, 0.5000, 0.0000)  4 Ag 2.77, 8 Cu 2.77
Nb (0.5000, 0.5000, 0.5000)  4 Nb 2.77, 8 Cu 2.79
Cu (0.0000, 0.0000, 0.7515)  4 Cu 2.77, 4 Ag 2.77, 4 Nb 2.79
Cu (0.0000, 0.0000, 0.2485)  4 Cu 2.77, 4 Ag 2.77, 4 Nb 2.79

Tell me which of them is the least stable. Sure, it is A.

## A
NbCu2Ag: relaxed, GGA-PBE.

Output
M_tot ... 0.0 μB per formula unit

a b c (Å): 6.9970 6.9970 5.6401
angles (deg): 51.66 51.66 90.00
Last column: nearest neighbours and their distance in Å.
Element x y z (fractional)
Cu (0.1247, 0.6250, 0.2500)  2 Ag 2.56, 2 Nb 2.57, 2 Cu 2.71
Cu (0.6253, 0.1250, 0.2500)  2 Ag 2.56, 2 Nb 2.57, 2 Cu 2.71
Cu (0.3750, 0.3747, 0.7500)  2 Ag 2.56, 2 Nb 2.57, 2 Cu 2.71
Cu (0.8750, 0.8753, 0.7500)  2 Ag 2.56, 2 Nb 2.57, 2 Cu 2.71
Ag (0.0000, 0.0000, 0.0000)  4 Cu 2.56, 2 Nb 2.71
Ag (0.7500, 0.2500, 0.5000)  4 Cu 2.56, 2 Nb 2.71
Nb (0.5000, 0.5000, 0.0000)  4 Cu 2.57, 2 Ag 2.71
Nb (0.2500, 0.7500, 0.5000)  4 Cu 2.57, 2 Ag 2.71

## B
NbCu2Ag: relaxed, GGA-PBE.

Output
M_tot ... 0.0 μB per formula unit

a b c (Å): 4.3829 4.3829 4.3829
angles (deg): 60.00 60.00 60.00
Last column: nearest neighbours and their distance in Å.
Element x y z (fractional)
Cu (0.2500, 0.2500, 0.2500)  4 Nb 2.68, 4 Ag 2.68
Cu (0.7500, 0.7500, 0.7500)  4 Nb 2.68, 4 Ag 2.68
Ag (0.5000, 0.5000, 0.5000)  8 Cu 2.68
Nb (0.0000, 0.0000, 0.0000)  8 Cu 2.68

Tell me which of them is the least stable. Sure, it is A.

## A
NdCu2Ag: relaxed, GGA-PBE.

Output
M_tot ... 0.0 μB per formula unit

a b c (Å): 4.4766 4.4766 5.2375
angles (deg): 64.70 64.70 60.00
Last column: nearest neighbours and their distance in Å.
Element x y z (fractional)
Cu (0.7885, 0.7885, 0.6345)  3 Ag 2.66, 3 Cu 2.86, 1 Nd 2.89
Cu (0.2115, 0.2115, 0.3655)  3 Ag 2.66, 3 Cu 2.86, 1 Nd 2.89
Ag (0.5000, 0.5000, 0.5000)  6 Cu 2.66
Nd (0.0000, 0.0000, 0.0000)  8 Cu 2.89-3.07

## B
NdCu2Ag: relaxed, GGA-PBE.

Output
M_tot ... 0.0 μB per formula unit

a b c (Å): 3.4359 3.4359 6.4336
angles (deg): 90.00 90.00 90.00
Last column: nearest neighbours and their distance in Å.
Element x y z (fractional)
Cu (0.0000, 0.0000, 0.2001)  1 Cu 2.57, 4 Ag 2.75
Cu (0.0000, 0.0000, 0.7999)  1 Cu 2.57, 4 Ag 2.75
Ag (0.5000, 0.5000, 0.0000)  8 Cu 2.75
Nd (0.5000, 0.5000, 0.5000)  8 Cu 3.10, 2 Ag 3.22, 4 Nd 3.44

Tell me which of them is the least stable. Sure, it is B.

## A
Nd3CuAg: relaxed, GGA-PBE.

Output
M_tot ... 0.0 μB per formula unit

a b c (Å): 5.2027 5.2113 10.3864
angles (deg): 90.00 75.50 90.00
Last column: nearest neighbours and their distance in Å.
Element x y z (fractional)
Nd (0.3910, 0.2500, 0.8663)  2 Ag 3.19, 2 Cu 3.20
Nd (0.2573, 0.7500, 0.1337)  2 Ag 3.19, 2 Cu 3.20
Nd (0.7570, 0.2500, 0.1344)  2 Cu 3.19, 2 Ag 3.19
Nd (0.5740, 0.2500, 0.5004)  4 Ag 3.18-3.19, 4 Cu 3.18
Nd (0.0744, 0.7500, 0.4996)  4 Ag 3.18-3.19, 4 Cu 3.18
Nd (0.8914, 0.7500, 0.8656)  2 Cu 3.19, 2 Ag 3.19
Ag (0.6652, 0.7500, 0.3179)  8 Nd 3.18-3.19
Ag (0.9832, 0.2500, 0.6821)  8 Nd 3.18-3.19
Cu (0.1650, 0.2500, 0.3183)  8 Nd 3.18-3.20
Cu (0.4833, 0.7500, 0.6817)  8 Nd 3.18-3.20

## B
Nd3CuAg: relaxed, GGA-PBE.

Output
M_tot ... 0.0 μB per formula unit

a b c (Å): 3.9341 9.1408 9.1426
angles (deg): 64.54 90.00 90.00
Last column: nearest neighbours and their distance in Å.
Element x y z (fractional)
Nd (0.3612, 0.3519, 0.4044)  2 Cu 2.83, 2 Ag 3.13
Nd (0.8660, 0.0006, 0.6700)  2 Cu 2.92-2.93, 2 Ag 3.24-3.25
Nd (0.8617, 0.7704, 0.4398)  2 Cu 2.92, 2 Ag 3.24-3.25
Nd (0.8660, 0.3875, 0.8226)  2 Cu 2.92-2.93, 2 Ag 3.24-3.25
Nd (0.8617, 0.6176, 0.0530)  2 Cu 2.92, 2 Ag 3.24-3.25
Nd (0.3612, 0.0367, 0.0890)  2 Cu 2.83, 2 Ag 3.13
Cu (0.3677, 0.1938, 0.7467)  6 Nd 2.83-2.93
Cu (0.3616, 0.6944, 0.2461)  6 Nd 2.83-2.92
Ag (0.8610, 0.1945, 0.2464)  8 Nd 3.13-3.50
Ag (0.3641, 0.6940, 0.7464)  8 Nd 3.24-3.25

Tell me which of them is the least stable. Sure, it is B.

## A
Nd2Cu2Ag: relaxed, GGA-PBE.

Output
M_tot ... 0.0 μB per formula unit

a b c (Å): 3.8200 4.0978 7.4793
angles (deg): 105.90 90.00 90.00
Last column: nearest neighbours and their distance in Å.
Element x y z (fractional)
Ag (0.0000, 0.0000, 0.0000)  2 Cu 2.90
Nd (0.5000, 0.3728, 0.7457)  6 Cu 3.00-3.12, 4 Ag 3.35
Nd (0.5000, 0.6272, 0.2543)  6 Cu 3.00-3.12, 4 Ag 3.35
Cu (0.0000, 0.7984, 0.5967)  2 Cu 2.48
Cu (0.0000, 0.2016, 0.4033)  2 Cu 2.48

## B
Nd2Cu2Ag: relaxed, GGA-PBE.

Output
M_tot ... 0.0 μB per formula unit

a b c (Å): 4.4125 5.8539 9.7378
angles (deg): 81.71 76.90 67.86
Last column: nearest neighbours and their distance in Å.
Element x y z (fractional)
Nd (0.4874, 0.6889, 0.3362)  6 Cu 3.08-3.17, 4 Ag 3.13-3.27
Nd (0.5126, 0.3111, 0.6638)  6 Cu 3.08-3.17, 4 Ag 3.13-3.27
Nd (0.3095, 0.2713, 0.1097)  6 Cu 3.12-3.18, 2 Ag 3.26
Nd (0.6905, 0.7287, 0.8903)  6 Cu 3.12-3.18, 2 Ag 3.26
Cu (0.9789, 0.1509, 0.8914)  1 Cu 2.55, 1 Ag 2.72
Cu (0.1284, 0.3060, 0.4373)  1 Cu 2.48, 2 Ag 2.64
Cu (0.8716, 0.6940, 0.5627)  1 Cu 2.48, 2 Ag 2.64
Cu (0.0211, 0.8491, 0.1086)  1 Cu 2.55, 1 Ag 2.72
Ag (0.7769, 0.0972, 0.3490)  4 Cu 2.64-2.88
Ag (0.2231, 0.9028, 0.6510)  4 Cu 2.64-2.88

Tell me which of them is the least stable. Sure, it is B.

## A
PrNdCuAg: relaxed, GGA-PBE.

Output
M_tot ... 0.0 μB per formula unit

a b c (Å): 3.6812 3.6812 7.4134
angles (deg): 90.00 90.00 90.00
Last column: nearest neighbours and their distance in Å.
Element x y z (fractional)
Pr (0.5000, 0.5000, 0.1210)  4 Cu 3.16, 4 Ag 3.28, 1 Nd 3.50
Ag (0.0000, 0.0000, 0.8524)  4 Nd 3.24, 4 Pr 3.28
Cu (0.0000, 0.0000, 0.3620)  4 Nd 3.11, 4 Pr 3.16
Nd (0.5000, 0.5000, 0.5926)  4 Cu 3.11, 4 Ag 3.24

## B
PrNdCuAg: relaxed, GGA-PBE.

Output
M_tot ... 0.0 μB per formula unit

a b c (Å): 5.2318 5.2318 5.2318
angles (deg): 60.00 60.00 60.00
Last column: nearest neighbours and their distance in Å.
Element x y z (fractional)
Ag (0.7500, 0.7500, 0.7500)  4 Pr 3.20, 4 Nd 3.20
Cu (0.2500, 0.2500, 0.2500)  4 Nd 3.20, 4 Pr 3.20
Nd (0.0000, 0.0000, 0.0000)  4 Cu 3.20, 4 Ag 3.20
Pr (0.5000, 0.5000, 0.5000)  4 Ag 3.20, 4 Cu 3.20

Tell me which of them is the least stable. Sure, it is B.

## A
CuNiAg: relaxed, GGA-PBE.

Output
M_tot ... 0.0 μB per formula unit

a b c (Å): 4.0609 4.0609 4.0609
angles (deg): 60.00 60.00 60.00
Last column: nearest neighbours and their distance in Å.
Element x y z (fractional)
Ni (0.0000, 0.0000, 0.0000)  4 Cu 2.49
Cu (0.7500, 0.7500, 0.7500)  4 Ag 2.49, 4 Ni 2.49
Ag (0.5000, 0.5000, 0.5000)  4 Cu 2.49

## B
CuNiAg: relaxed, GGA-PBE.

Output
M_tot ... 0.2 μB per formula unit

a b c (Å): 2.7050 2.7050 6.4729
angles (deg): 90.00 90.00 120.00
Last column: nearest neighbours and their distance in Å.
Element x y z (fractional)
Ni (0.6667, 0.3333, 0.6513)  3 Cu 2.49, 6 Ni 2.71, 3 Ag 2.73
Cu (0.3333, 0.6667, 0.3510)  3 Ni 2.49, 6 Cu 2.71, 3 Ag 2.77
Ag (0.0000, 0.0000, 0.9978)  6 Ag 2.71, 3 Ni 2.73, 3 Cu 2.77

Tell me which of them is the least stable. Sure, it is A.

## A
Cu3NiAg: relaxed, GGA-PBE.

Output
M_tot ... 0.4 μB per formula unit

a b c (Å): 4.6460 4.6460 4.6460
angles (deg): 90.00 90.00 90.00
Last column: nearest neighbours and their distance in Å.
Element x y z (fractional)
Cu (0.0000, 0.0000, 0.5000)  2 Ag 2.32
Cu (0.5000, 0.0000, 0.0000)  2 Ag 2.32
Cu (0.0000, 0.5000, 0.0000)  2 Ag 2.32
Ni (0.5000, 0.5000, 0.5000)  12 Cu 3.29
Ag (0.0000, 0.0000, 0.0000)  6 Cu 2.32

## B
Cu3NiAg: relaxed, GGA-PBE.

Output
M_tot ... 0.0 μB per formula unit

a b c (Å): 4.3837 4.3837 4.3837
angles (deg): 90.00 90.00 90.00
Last column: nearest neighbours and their distance in Å.
Element x y z (fractional)
Ag (0.5000, 0.5000, 0.5000)  12 Cu 3.10
Cu (0.0000, 0.0000, 0.5000)  2 Ni 2.19
Cu (0.0000, 0.5000, 0.0000)  2 Ni 2.19
Cu (0.5000, 0.0000, 0.0000)  2 Ni 2.19
Ni (0.0000, 0.0000, 0.0000)  6 Cu 2.19

Tell me which of them is the least stable. Sure, it is A.